The following is a PBE calculation of CaPbSe2 after structural relaxation, from Alexandria via LeMat-Bulk.

Cell: 7.794 7.794 7.794 Å, 150.96 150.24 42.07°
Positions (direct):
1 Pb 0.293 0.793 0.500
2 Ca 0.540 0.540 0.000
3 Se 0.965 0.965 0.000
4 Se 0.701 0.201 0.500

Calculated values
E_tot ... -4.3002 eV/atom
Formation energy (no corrections) ... -1.13 eV per atom

=====

The following is a PBE calculation of Li3BeSb after structural relaxation, from Alexandria via LeMat-Bulk.

Cell: 5.210 5.210 5.210 Å, 90.00 90.00 90.00°
Positions (direct):
1 Sb 0.000 0.000 0.000
2 Li 0.000 0.500 0.000
3 Li 0.000 0.000 0.500
4 Li 0.500 0.000 0.000
5 Be 0.500 0.500 0.500

Calculated values
E_tot ... -2.4006 eV/atom
Formation energy (no corrections) ... 0.32 eV per atom

=====

The following is a PBE calculation of Sr3PdBr after structural relaxation, from Alexandria via LeMat-Bulk.

Cell: 4.391 9.958 9.117 Å, 111.19 90.00 90.00°
Positions (direct):
1 Sr 0.250 0.624 0.315
2 Sr 0.750 0.376 0.685
3 Sr 0.250 0.050 0.717
4 Sr 0.750 0.277 0.084
5 Sr 0.750 0.950 0.283
6 Sr 0.250 0.723 0.916
7 Pd 0.750 0.599 0.069
8 Pd 0.250 0.401 0.931
9 Br 0.750 0.683 0.616
10 Br 0.250 0.317 0.384

Calculated values
E_tot ... -3.2149 eV/atom
Formation energy (no corrections) ... -0.83 eV per atom

=====

The following is a PBE calculation of LaTeS2Cl after structural relaxation, from Alexandria via LeMat-Bulk.

Cell: 5.622 5.622 5.321 Å, 90.00 90.00 90.00°
Positions (direct):
1 Cl 0.000 0.000 0.500
2 S 0.000 0.500 0.000
3 S 0.500 0.000 0.000
4 Te 0.500 0.500 0.500
5 La 0.000 0.000 0.000

Calculated values
E_tot ... -4.1689 eV/atom
Formation energy (no corrections) ... -0.53 eV per atom